Record 1
# AcLuZr | OQMD | PBE | relaxed
data_AcLuZr
_chemical_formula_sum 'Ac1 Lu1 Zr1'
_cell_length_a 5.356
_cell_length_b 5.356
_cell_length_c 5.356
_cell_angle_alpha 60.00
_cell_angle_beta 60.00
_cell_angle_gamma 60.00
_space_group_name_H-M_alt 'P 1'
_space_group_IT_number 1
_space_group_name_Hall 'P 1'
loop_
_atom_site_label
_atom_site_type_symbol
_atom_site_fract_x
_atom_site_fract_y
_atom_site_fract_z
Ac1 Ac 0.000 0.000 0.000
Lu1 Lu 0.500 0.500 0.500
Zr1 Zr 0.250 0.250 0.250
# Polymorph energy (0 for the lowest one), eV/atom: 0.000
# Space-group type: No. 216
# ΔE_f, eV/atom: 0.770

Record 2
# AcMgNi | OQMD | PBE | relaxed
data_AcMgNi
_chemical_formula_sum 'Ac1 Mg1 Ni1'
_cell_length_a 4.868
_cell_length_b 4.868
_cell_length_c 4.868
_cell_angle_alpha 60.00
_cell_angle_beta 60.00
_cell_angle_gamma 60.00
_space_group_name_H-M_alt 'P 1'
_space_group_IT_number 1
_space_group_name_Hall 'P 1'
loop_
_atom_site_label
_atom_site_type_symbol
_atom_site_fract_x
_atom_site_fract_y
_atom_site_fract_z
Ac1 Ac 0.000 0.000 0.000
Mg1 Mg 0.500 0.500 0.500
Ni1 Ni 0.250 0.250 0.250
# Polymorph energy (0 for the lowest one), eV/atom: 0.000
# Space-group type: No. 216

Record 3
# AcMgNi | OQMD | PBE | relaxed
data_AcMgNi
_chemical_formula_sum 'Ac1 Mg1 Ni1'
_cell_length_a 5.080
_cell_length_b 5.080
_cell_length_c 5.080
_cell_angle_alpha 60.00
_cell_angle_beta 60.00
_cell_angle_gamma 60.00
_space_group_name_H-M_alt 'P 1'
_space_group_IT_number 1
_space_group_name_Hall 'P 1'
loop_
_atom_site_label
_atom_site_type_symbol
_atom_site_fract_x
_atom_site_fract_y
_atom_site_fract_z
Ac1 Ac 0.000 0.000 0.000
Mg1 Mg 0.750 0.750 0.750
Ni1 Ni 0.250 0.250 0.250
# Polymorph energy (0 for the lowest one), eV/atom: 0.740
# Space-group type: No. 216

Record 4
# AcMgNp | OQMD | PBE | relaxed
data_AcMgNp
_chemical_formula_sum 'Ac1 Mg1 Np1'
_cell_length_a 5.374
_cell_length_b 5.374
_cell_length_c 5.374
_cell_angle_alpha 60.00
_cell_angle_beta 60.00
_cell_angle_gamma 60.00
_space_group_name_H-M_alt 'P 1'
_space_group_IT_number 1
_space_group_name_Hall 'P 1'
loop_
_atom_site_label
_atom_site_type_symbol
_atom_site_fract_x
_atom_site_fract_y
_atom_site_fract_z
Ac1 Ac 0.000 0.000 0.000
Mg1 Mg 0.750 0.750 0.750
Np1 Np 0.250 0.250 0.250
# Polymorph energy (0 for the lowest one), eV/atom: 0.220
# Space-group type: No. 216

Record 5
# AcMgNp | OQMD | PBE | relaxed
data_AcMgNp
_chemical_formula_sum 'Ac1 Mg1 Np1'
_cell_length_a 5.462
_cell_length_b 5.462
_cell_length_c 5.462
_cell_angle_alpha 60.00
_cell_angle_beta 60.00
_cell_angle_gamma 60.00
_space_group_name_H-M_alt 'P 1'
_space_group_IT_number 1
_space_group_name_Hall 'P 1'
loop_
_atom_site_label
_atom_site_type_symbol
_atom_site_fract_x
_atom_site_fract_y
_atom_site_fract_z
Ac1 Ac 0.000 0.000 0.000
Mg1 Mg 0.250 0.250 0.250
Np1 Np 0.500 0.500 0.500
# Polymorph energy (0 for the lowest one), eV/atom: 0.000
# Space-group type: No. 216

Record 6
# AcMgOs | OQMD | PBE | relaxed
data_AcMgOs
_chemical_formula_sum 'Ac1 Mg1 Os1'
_cell_length_a 4.763
_cell_length_b 4.763
_cell_length_c 4.763
_cell_angle_alpha 60.00
_cell_angle_beta 60.00
_cell_angle_gamma 60.00
_space_group_name_H-M_alt 'P 1'
_space_group_IT_number 1
_space_group_name_Hall 'P 1'
loop_
_atom_site_label
_atom_site_type_symbol
_atom_site_fract_x
_atom_site_fract_y
_atom_site_fract_z
Ac1 Ac 0.000 0.000 0.000
Mg1 Mg 0.250 0.250 0.250
Os1 Os 0.500 0.500 0.500
# Total energy, eV/atom: -4.89
# Space-group type: No. 216

Record 7
# AcMgPa | OQMD | PBE | relaxed
data_AcMgPa
_chemical_formula_sum 'Ac1 Mg1 Pa1'
_cell_length_a 5.287
_cell_length_b 5.287
_cell_length_c 5.287
_cell_angle_alpha 60.00
_cell_angle_beta 60.00
_cell_angle_gamma 60.00
_space_group_name_H-M_alt 'P 1'
_space_group_IT_number 1
_space_group_name_Hall 'P 1'
loop_
_atom_site_label
_atom_site_type_symbol
_atom_site_fract_x
_atom_site_fract_y
_atom_site_fract_z
Ac1 Ac 0.000 0.000 0.000
Mg1 Mg 0.250 0.250 0.250
Pa1 Pa 0.500 0.500 0.500
# Polymorph energy (0 for the lowest one), eV/atom: 0.000
# Space-group type: No. 216

Record 8
# AcMgPd | OQMD | PBE | relaxed
data_AcMgPd
_chemical_formula_sum 'Ac1 Mg1 Pd1'
_cell_length_a 5.171
_cell_length_b 5.171
_cell_length_c 5.171
_cell_angle_alpha 60.00
_cell_angle_beta 60.00
_cell_angle_gamma 60.00
_space_group_name_H-M_alt 'P 1'
_space_group_IT_number 1
_space_group_name_Hall 'P 1'
loop_
_atom_site_label
_atom_site_type_symbol
_atom_site_fract_x
_atom_site_fract_y
_atom_site_fract_z
Ac1 Ac 0.000 0.000 0.000
Mg1 Mg 0.750 0.750 0.750
Pd1 Pd 0.250 0.250 0.250
# Polymorph energy (0 for the lowest one), eV/atom: 0.839
# Space-group type: No. 216

Record 9
# AcMg2Pd | OQMD | PBE | relaxed
data_AcMg2Pd
_chemical_formula_sum 'Ac2 Mg4 Pd2'
_cell_length_a 5.908
_cell_length_b 5.908
_cell_length_c 8.446
_cell_angle_alpha 90.00
_cell_angle_beta 90.00
_cell_angle_gamma 136.75
_space_group_name_H-M_alt 'P 1'
_space_group_IT_number 1
_space_group_name_Hall 'P 1'
loop_
_atom_site_label
_atom_site_type_symbol
_atom_site_fract_x
_atom_site_fract_y
_atom_site_fract_z
Ac1 Ac 0.058 0.942 0.750
Ac2 Ac 0.942 0.058 0.250
Mg1 Mg 0.341 0.659 0.556
Mg2 Mg 0.341 0.659 0.944
Mg3 Mg 0.659 0.341 0.056
Mg4 Mg 0.659 0.341 0.444
Pd1 Pd 0.226 0.774 0.250
Pd2 Pd 0.774 0.226 0.750
# Total energy, eV/atom: -3.62
# Space-group type: No. 63

Record 10
# AcMgPd | OQMD | PBE | relaxed
data_AcMgPd
_chemical_formula_sum 'Ac6 Mg6 Pd6'
_cell_length_a 7.893
_cell_length_b 4.343
_cell_length_c 13.550
_cell_angle_alpha 90.00
_cell_angle_beta 90.36
_cell_angle_gamma 90.00
_space_group_name_H-M_alt 'P 1'
_space_group_IT_number 1
_space_group_name_Hall 'P 1'
loop_
_atom_site_label
_atom_site_type_symbol
_atom_site_fract_x
_atom_site_fract_y
_atom_site_fract_z
Ac1 Ac 0.036 0.250 0.374
Ac2 Ac 0.161 0.250 0.083
Ac3 Ac 0.458 0.750 0.713
Ac4 Ac 0.542 0.250 0.287
Ac5 Ac 0.839 0.750 0.917
Ac6 Ac 0.964 0.750 0.626
Mg1 Mg 0.139 0.250 0.804
Mg2 Mg 0.367 0.750 0.462
Mg3 Mg 0.495 0.250 0.919
Mg4 Mg 0.505 0.750 0.081
Mg5 Mg 0.633 0.250 0.538
Mg6 Mg 0.861 0.750 0.196
Pd1 Pd 0.244 0.750 0.249
Pd2 Pd 0.262 0.250 0.578
Pd3 Pd 0.264 0.750 0.914
Pd4 Pd 0.736 0.250 0.086
Pd5 Pd 0.738 0.750 0.422
Pd6 Pd 0.756 0.250 0.751
# Polymorph energy (0 for the lowest one), eV/atom: 0.000
# Space-group type: No. 11

Record 11
# AcPmMg | OQMD | PBE | relaxed
data_AcPmMg
_chemical_formula_sum 'Ac1 Pm1 Mg1'
_cell_length_a 5.526
_cell_length_b 5.526
_cell_length_c 5.526
_cell_angle_alpha 60.00
_cell_angle_beta 60.00
_cell_angle_gamma 60.00
_space_group_name_H-M_alt 'P 1'
_space_group_IT_number 1
_space_group_name_Hall 'P 1'
loop_
_atom_site_label
_atom_site_type_symbol
_atom_site_fract_x
_atom_site_fract_y
_atom_site_fract_z
Ac1 Ac 0.000 0.000 0.000
Pm1 Pm 0.500 0.500 0.500
Mg1 Mg 0.250 0.250 0.250
# Polymorph energy (0 for the lowest one), eV/atom: 0.000
# Space-group type: No. 216

Record 12
# AcPrMg | OQMD | PBE | relaxed
data_AcPrMg
_chemical_formula_sum 'Ac1 Pr1 Mg1'
_cell_length_a 5.557
_cell_length_b 5.557
_cell_length_c 5.557
_cell_angle_alpha 60.00
_cell_angle_beta 60.00
_cell_angle_gamma 60.00
_space_group_name_H-M_alt 'P 1'
_space_group_IT_number 1
_space_group_name_Hall 'P 1'
loop_
_atom_site_label
_atom_site_type_symbol
_atom_site_fract_x
_atom_site_fract_y
_atom_site_fract_z
Ac1 Ac 0.000 0.000 0.000
Pr1 Pr 0.500 0.500 0.500
Mg1 Mg 0.250 0.250 0.250
# Polymorph energy (0 for the lowest one), eV/atom: 0.000
# Space-group type: No. 216